Entry 1:
Ba2PuP | GGA-PBE | relaxed

Its formation energy is -0.088 eV/atom.

Cell and atoms, written as CIF:
```
data_Ba2PuP
_chemical_formula_sum 'Ba6 Pu3 P3'
_cell_length_a 4.3651
_cell_length_b 4.3651
_cell_length_c 34.7512
_cell_angle_alpha 90.00
_cell_angle_beta 90.00
_cell_angle_gamma 120.00
_symmetry_space_group_name_H-M 'R -3 m'
_symmetry_Int_Tables_number 166
_symmetry_space_group_name_Hall '-R 3 2"'
loop_
_atom_site_label
_atom_site_fract_x
_atom_site_fract_y
_atom_site_fract_z
Ba1 0.0000 0.0000 0.1147
Pu1 0.0000 0.0000 0.0000
P1 0.0000 0.0000 0.5000
```



Entry 2:
SbCSe2 | GGA-PBE | relaxed

Its formation energy (no corrections) is 0.871 eV/atom.

Cell and atoms, written as CIF:
```
data_SbCSe2
_chemical_formula_sum 'Sb3 C3 Se6'
_cell_length_a 3.8000
_cell_length_b 3.8000
_cell_length_c 24.2769
_cell_angle_alpha 90.00
_cell_angle_beta 90.00
_cell_angle_gamma 120.00
_symmetry_space_group_name_H-M 'R -3 m'
_symmetry_Int_Tables_number 166
_symmetry_space_group_name_Hall '-R 3 2"'
loop_
_atom_site_label
_atom_site_fract_x
_atom_site_fract_y
_atom_site_fract_z
Sb1 0.0000 0.0000 0.0000
C1 0.0000 0.0000 0.5000
Se1 0.0000 0.0000 0.4282
```



Entry 3:
Pm3Ho2Ge4 | GGA-PBE | relaxed

Its formation energy is -0.847 eV/atom.

Cell and atoms, written as CIF:
```
data_Pm3Ho2Ge4
_chemical_formula_sum 'Pm6 Ho4 Ge8'
_cell_length_a 8.0058
_cell_length_b 7.9098
_cell_length_c 7.7128
_cell_angle_alpha 90.00
_cell_angle_beta 111.55
_cell_angle_gamma 90.00
_symmetry_space_group_name_H-M 'P 1 21/c 1'
_symmetry_Int_Tables_number 14
loop_
_symmetry_equiv_pos_as_xyz
'x,y,z'
'-x,-y,-z'
'-x,y+1/2,-z+1/2'
'x,-y+1/2,z+1/2'
loop_
_atom_site_label
_atom_site_fract_x
_atom_site_fract_y
_atom_site_fract_z
Pm1 0.0000 0.0000 0.0000
Pm2 0.3030 0.1814 0.4328
Ho1 0.2610 0.6652 0.2677
Ge1 0.0072 0.1272 0.6253
Ge2 0.4172 0.5397 0.6699
```



Entry 4:
Tb4InAg2Rh | GGA-PBE | relaxed

Its formation energy is -0.513 eV/atom.

Cell and atoms, written as CIF:
```
data_Tb4InAg2Rh
_chemical_formula_sum 'Tb12 In3 Ag6 Rh3'
_cell_length_a 5.1455
_cell_length_b 5.1455
_cell_length_c 24.9844
_cell_angle_alpha 90.00
_cell_angle_beta 90.00
_cell_angle_gamma 120.00
_symmetry_space_group_name_H-M 'R -3 m'
_symmetry_Int_Tables_number 166
_symmetry_space_group_name_Hall '-R 3 2"'
loop_
_atom_site_label
_atom_site_fract_x
_atom_site_fract_y
_atom_site_fract_z
Tb1 0.0000 0.0000 0.1146
Tb2 0.0000 0.0000 0.3679
In1 0.0000 0.0000 0.5000
Ag1 0.0000 0.0000 0.2406
Rh1 0.0000 0.0000 0.0000
```



Entry 5:
Pm12NdSc3 | GGA-PBE | relaxed

Its formation energy is 0.035 eV/atom.

Cell and atoms, written as CIF:
```
data_Pm12NdSc3
_chemical_formula_sum 'Pm12 Nd1 Sc3'
_cell_length_a 5.0612
_cell_length_b 5.0612
_cell_length_c 20.2124
_cell_angle_alpha 90.00
_cell_angle_beta 90.00
_cell_angle_gamma 90.00
_symmetry_space_group_name_H-M 'P 4/m m m'
_symmetry_Int_Tables_number 123
_symmetry_space_group_name_Hall '-P 4 2'
loop_
_atom_site_label
_atom_site_fract_x
_atom_site_fract_y
_atom_site_fract_z
Pm1 0.0000 0.0000 0.0000
Pm2 0.0000 0.0000 0.2458
Pm3 0.0000 0.0000 0.5000
Pm4 0.0000 0.5000 0.1233
Pm5 0.0000 0.5000 0.3696
Nd1 0.5000 0.5000 0.5000
Sc1 0.5000 0.5000 0.0000
Sc2 0.5000 0.5000 0.2465
```



Entry 6:
ErTcIr | GGA-PBE | relaxed

Its formation energy is -0.361 eV/atom.

Cell and atoms, written as CIF:
```
data_ErTcIr
_chemical_formula_sum 'Er3 Tc3 Ir3'
_cell_length_a 6.6834
_cell_length_b 6.6834
_cell_length_c 4.3883
_cell_angle_alpha 90.00
_cell_angle_beta 90.00
_cell_angle_gamma 120.00
_symmetry_space_group_name_H-M 'P -6 2 m'
_symmetry_Int_Tables_number 189
_symmetry_space_group_name_Hall 'P -6 -2'
loop_
_atom_site_label
_atom_site_fract_x
_atom_site_fract_y
_atom_site_fract_z
Er1 0.0000 0.4175 0.0000
Tc1 0.0000 0.7620 0.5000
Ir1 0.0000 0.0000 0.0000
Ir2 0.3333 0.6667 0.5000
```



Entry 7:
Lu4Ge8Pd | GGA-PBE | relaxed

Its formation energy is -0.585 eV/atom.

Cell and atoms, written as CIF:
```
data_Lu4Ge8Pd
_chemical_formula_sum 'Lu4 Ge8 Pd1'
_cell_length_a 3.9339
_cell_length_b 4.0169
_cell_length_c 16.4304
_cell_angle_alpha 90.00
_cell_angle_beta 90.00
_cell_angle_gamma 90.00
_symmetry_space_group_name_H-M 'P m m 2'
_symmetry_Int_Tables_number 25
loop_
_symmetry_equiv_pos_as_xyz
'x,y,z'
'-x,-y,z'
'-x,y,z'
'x,-y,z'
loop_
_atom_site_label
_atom_site_fract_x
_atom_site_fract_y
_atom_site_fract_z
Lu1 0.0000 0.0000 0.0000
Lu2 0.0000 0.5000 0.4772
Lu3 0.5000 0.0000 0.7885
Lu4 0.5000 0.5000 0.2774
Ge1 0.0000 0.0000 0.3210
Ge2 0.0000 0.0000 0.6132
Ge3 0.0000 0.5000 0.1355
Ge4 0.0000 0.5000 0.8596
Ge5 0.5000 0.0000 0.1423
Ge6 0.5000 0.0000 0.4245
Ge7 0.5000 0.5000 0.6124
Ge8 0.5000 0.5000 0.9590
Pd1 0.0000 0.5000 0.7117
```



Entry 8:
AsPRu2 | GGA-PBE | relaxed

Its formation energy is 0.156 eV/atom.

Cell and atoms, written as CIF:
```
data_AsPRu2
_chemical_formula_sum 'As2 P2 Ru4'
_cell_length_a 2.9247
_cell_length_b 5.1261
_cell_length_c 7.9744
_cell_angle_alpha 90.00
_cell_angle_beta 90.00
_cell_angle_gamma 90.00
_symmetry_space_group_name_H-M 'C m m m'
_symmetry_Int_Tables_number 65
_symmetry_space_group_name_Hall '-C 2 2'
loop_
_atom_site_label
_atom_site_fract_x
_atom_site_fract_y
_atom_site_fract_z
As1 0.0000 0.0000 0.0000
P1 0.0000 0.0000 0.5000
Ru1 0.0000 0.5000 0.2796
```



Entry 9:
Y19Ho4Sc6 | GGA-PBE | relaxed

Its formation energy is 0.385 eV/atom.

Cell and atoms, written as CIF:
```
data_Y19Ho4Sc6
_chemical_formula_sum 'Y38 Ho8 Sc12'
_cell_length_a 12.3011
_cell_length_b 12.3011
_cell_length_c 12.3011
_cell_angle_alpha 90.00
_cell_angle_beta 90.00
_cell_angle_gamma 90.00
_symmetry_space_group_name_H-M 'I 2 3'
_symmetry_Int_Tables_number 197
_symmetry_space_group_name_Hall 'I 2 2 3'
loop_
_atom_site_label
_atom_site_fract_x
_atom_site_fract_y
_atom_site_fract_z
Y1 0.0000 0.0000 0.0000
Y2 0.0000 0.0000 0.2660
Y3 0.0577 0.2752 0.2823
Ho1 0.1789 0.1789 0.8211
Sc1 0.0000 0.3836 0.5000
```



Entry 10:
Rb2Np3CdO12 | GGA-PBE | relaxed

Its formation energy (no corrections) is -2.380 eV/atom.

Cell and atoms, written as CIF:
```
data_Rb2Np3CdO12
_chemical_formula_sum 'Rb6 Np9 Cd3 O36'
_cell_length_a 8.0044
_cell_length_b 8.0044
_cell_length_c 18.3784
_cell_angle_alpha 90.00
_cell_angle_beta 90.00
_cell_angle_gamma 120.00
_symmetry_space_group_name_H-M 'R -3 m'
_symmetry_Int_Tables_number 166
_symmetry_space_group_name_Hall '-R 3 2"'
loop_
_atom_site_label
_atom_site_fract_x
_atom_site_fract_y
_atom_site_fract_z
Rb1 0.0000 0.0000 0.1235
Np1 0.0000 0.5000 0.0000
Cd1 0.0000 0.0000 0.5000
O1 0.0485 0.5243 0.1017
O2 0.0778 0.5389 0.3482
```



Computed size of the total moment (μB/f.u.) in order:
7.4; 0.0; 0.0; 0.0; 0.0; 0.0; 0.0; 0.0; 3.2; 1.0